1.
The following is a DFT calculation (GGA-PBE) of a relaxed structure of Ho3PdO6.

The value obtained for the calculated total energy is -7.61 eV/atom. The calculation puts the energy above the most stable polymorph in this dataset at 0.0 kJ/mol of atoms.

The structure belongs to space group R-3 (No. 148, hexagonal axes); the cell edges are 9.4208, 9.4208 and 10.8424 Å and the angles 90.00°, 90.00° and 120.00°. The asymmetric unit holds Ho at (0.0442, 0.7765, 0.2052), Pd at (0.0000, 0.0000, 0.0000), Pd at (0.0000, 0.0000, 0.5000), O at (0.0272, 0.7995, 0.4038) and O at (0.0291, 0.8469, 0.8826).

=====

2.
The following is a DFT calculation (GGA-PBE) of a relaxed structure of Ho2PdO4.

The value obtained for the calculated total energy is -7.56 eV/atom. The calculation puts the energy above the most stable polymorph in this dataset at 0.0 kJ/mol of atoms.

The structure belongs to space group P4/ncc (No. 130, origin choice 2); the cell edges are 7.820, 7.820 and 6.172 Å and the angles 90.00°, 90.00° and 90.00°. The asymmetric unit holds Ho at (0.070, 0.570, 0.250), Pd at (0.250, 0.250, 0.061) and O at (0.003, 0.679, 0.920).

=====

3.
The following is a DFT calculation (GGA-PBE) of a relaxed structure of HoPd2O4.

The value obtained for the calculated total energy is -6.15 eV/atom. The calculation puts the energy above the most stable polymorph in this dataset at 39.8 kJ/mol of atoms.

The structure belongs to space group Fd-3m (No. 227, origin choice 2); the cell edges are 9.117, 9.117 and 9.117 Å and the angles 90.00°, 90.00° and 90.00°. The asymmetric unit holds Ho at (0.125, 0.125, 0.125), Pd at (0.000, 0.000, 0.500) and O at (0.011, 0.011, 0.739).

=====

4.
The following is a DFT calculation (GGA-PBE) of a relaxed structure of Pm2HoO4.

The value obtained for the calculated total energy is -7.97 eV/atom.

The structure belongs to space group Fd-3m (No. 227, origin choice 2); the cell edges are 9.758, 9.758 and 9.758 Å and the angles 90.00°, 90.00° and 90.00°. The asymmetric unit holds Pm at (0.000, 0.000, 0.000), Ho at (0.125, 0.125, 0.625) and O at (0.002, 0.002, 0.248).